Ac2ZnGa7: optimized geometry, PBE.

Calculated values
- spin magnetization (μB per cell) = 0.0
- energy (eV per atom) = -3.55
- ρ (g/cm³) = 7.75

The structure in CIF format:
```
data_Ac2ZnGa7
_symmetry_space_group_name_H-M 'P -4 m 2'
_symmetry_Int_Tables_number 115
_symmetry_space_group_name_Hall 'P -4 -2'
_cell_length_a 4.558
_cell_length_b 4.558
_cell_length_c 10.389
_cell_angle_alpha 90.00
_cell_angle_beta 90.00
_cell_angle_gamma 90.00
loop_
_atom_site_label
_atom_site_fract_x
_atom_site_fract_y
_atom_site_fract_z
_atom_site_occupancy
Ac1 0.000 0.500 0.248 1
Zn1 0.500 0.500 0.000 1
Ga1 0.000 0.000 0.000 1
Ga2 0.000 0.000 0.500 1
Ga3 0.000 0.500 0.629 1
Ga4 0.000 0.500 0.874 1
Ga5 0.500 0.500 0.500 1
```